Entry 1:
A plane-wave DFT calculation with PBE-GGA was carried out for an optimized crystal structure of LiAlMo.

The energy of formation comes out at 0.0572 eV per atom. The space group is Fmm2, No. 42. The value obtained for the energy relative to the lowest polymorph listed for this composition is 0 meV/atom.

POSCAR file:
```
LiAlMo
1.0
7.0111 -0.0002 0.0002
6.4045 2.5936 -0.0229
0.6065 -0.3789 2.5660
Al Li Mo
1 1 1
direct
0.9977 0.9977 0.0023
0.6634 0.6634 0.3366
0.3389 0.3389 0.6611
```

Entry 2:
A plane-wave DFT calculation with PBE-GGA was carried out for an optimized crystal structure of Li2Al6Mo.

The energy of formation comes out at -0.0112 eV per atom. The space group is P-62m, No. 189.

POSCAR file:
```
Li2Al6Mo
1.0
-0.1316 0.6864 -2.7000
7.6644 0.4742 -0.2529
-3.4885 -6.6732 -1.5264
Li Al Mo
2 6 1
direct
0.0000 0.3333 0.6667
0.0000 0.6667 0.3333
0.0000 0.6962 0.0000
0.5000 0.6371 0.6371
0.5000 0.0000 0.3629
0.0000 0.0000 0.6962
0.0000 0.3038 0.3038
0.5000 0.3629 0.0000
0.5000 0.0000 0.0000
```

Look up the energy of formation of the second one.
-0.0112 eV per atom

Among the records above, which one has the highest energy of formation?
LiAlMo

Which of these has the lowest energy of formation?
Li2Al6Mo

Look up the energy of formation of the first one.
0.0572 eV per atom